CdIn2Fe: single point on PBEsol structure, meta-GGA SCAN.

Results
VASP energy, eV/cell: -343.0
Formation energy from the elements, meV per atom: 249

Cell lengths 3.1296, 3.1296, 27.3953 Å; angles 90.00, 90.00, 120.00 degrees
Space group R-3m (No. 166, hexagonal axes)
Symmetry-distinct sites (fractional):
Cd1 0.0000 0.0000 0.0000
In1 0.0000 0.0000 0.2409
Fe1 0.0000 0.0000 0.5000